1.
## Li6Mg4Hg (PBE)

Data for a relaxed Li6Mg4Hg crystal.

Computed properties:
- Crystal system: tetragonal
- SG: No. 121
- Formation energy: -0.5 eV per formula unit

```
Li6Mg4Hg
1.0
-7.024 3.817 0.075
6.240 -1.051 -4.885
2.867 -7.327 -1.417
Li Mg Hg
6 4 1
Direct
0.000 0.785 0.437
0.000 0.437 0.785
0.347 0.563 0.563
0.500 0.500 0.000
0.653 0.215 0.215
0.500 0.000 0.500
0.000 0.622 0.008
0.386 0.378 0.378
0.000 0.008 0.622
0.614 0.992 0.992
0.000 0.000 0.000
```


2.
## Sm2AlCu3 (PBE)

Data for a relaxed Sm2AlCu3 crystal.

Computed properties:
- Crystal system: orthorhombic
- SG: No. 44
- Formation energy: -1.5 eV per formula unit

```
Sm2AlCu3
1.0
3.760 0.000 -1.001
-0.299 3.953 -1.123
0.170 0.197 8.202
Sm Al Cu
2 1 3
Direct
0.129 0.129 0.258
0.866 0.366 0.733
0.461 0.961 0.922
0.704 0.704 0.407
0.543 0.543 0.087
0.297 0.797 0.594
```


3.
## Hf4TaGe2 (PBE)

Data for a relaxed Hf4TaGe2 crystal.

Computed properties:
- Crystal system: trigonal
- SG: No. 166
- Formation energy: -0.5 eV per formula unit

```
Hf4TaGe2
1.0
-0.694 -3.938 2.483
3.050 -1.226 3.369
-3.379 2.316 7.190
Hf Ta Ge
4 1 2
Direct
0.726 0.726 0.821
0.874 0.874 0.377
0.274 0.274 0.179
0.126 0.126 0.623
0.500 0.500 0.500
0.611 0.611 0.166
0.389 0.389 0.834
```


4.
## LiSm2Si3Ir4 (PBE)

Data for a relaxed LiSm2Si3Ir4 crystal.

Computed properties:
- Crystal system: tetragonal
- SG: No. 115
- Formation energy without anion corrections: -0.94 eV/atom

```
LiSm2Si3Ir4
1.0
-3.610 0.583 1.885
-0.681 -4.057 -0.050
4.547 -0.874 8.980
Li Sm Si Ir
1 2 3 4
Direct
0.500 0.500 0.500
0.500 0.000 0.254
0.000 0.500 0.746
0.000 0.000 0.500
0.500 0.000 0.872
0.000 0.500 0.128
0.500 0.500 0.000
0.000 0.000 0.000
0.500 0.000 0.635
0.000 0.500 0.365
```


5.
## Li2Sn4Pd5 (PBE)

Data for a relaxed Li2Sn4Pd5 crystal.

Computed properties:
- Crystal system: orthorhombic
- SG: No. 71
- Formation energy: -3.2 eV per formula unit

```
Li2Sn4Pd5
1.0
-0.886 3.181 -2.674
-4.630 1.323 3.107
7.760 3.387 4.835
Li Sn Pd
2 4 5
Direct
0.576 0.576 0.152
0.424 0.424 0.848
0.723 0.723 0.447
0.000 0.257 0.000
0.277 0.277 0.553
0.000 0.743 0.000
0.152 0.409 0.305
0.848 0.591 0.695
0.152 0.896 0.305
0.500 0.000 0.000
0.848 0.104 0.695
```


6.
## LaGe6P8 (PBE)

Data for a relaxed LaGe6P8 crystal.

Computed properties:
- Crystal system: trigonal
- SG: No. 148
- Formation energy: -0.8 eV per formula unit

```
LaGe6P8
1.0
6.842 -0.256 -0.264
-0.469 6.831 -0.264
-0.469 -0.484 6.819
La Ge P
1 6 8
Direct
0.000 0.000 0.000
0.663 0.386 0.844
0.386 0.844 0.663
0.844 0.663 0.386
0.337 0.614 0.156
0.614 0.156 0.337
0.156 0.337 0.614
0.706 0.706 0.706
0.294 0.294 0.294
0.642 0.834 0.171
0.834 0.171 0.642
0.171 0.642 0.834
0.358 0.166 0.829
0.166 0.829 0.358
0.829 0.358 0.166
```